No. 1
Fe3ReTe | GGA-PBE | optimized geometry

- Distance to the lowest polymorph of the same formula: 0.516 eV per atom
- DOS at the Fermi energy: 1.019 states/eV/atom
- Space-group type: No. 221
- Energy relative to the elements, uncorrected: 182 kJ per mole of atoms

The structure in extended XYZ format:
```
5
Lattice="4.599 0.000 0.000 0.000 4.599 0.000 0.000 0.000 4.599" Properties=species:S:1:pos:R:3 pbc="T T T"
Fe 0.000 0.000 2.299
Fe 0.000 2.299 0.000
Fe 2.299 0.000 0.000
Re 2.299 2.299 2.299
Te 0.000 0.000 0.000
```

No. 2
FeRe4Te | GGA-PBE | optimized geometry

- DOS at the Fermi energy: 1.170 states/eV/atom
- Space-group type: No. 216
- Energy relative to the elements, uncorrected: 82 kJ per mole of atoms

The structure in extended XYZ format:
```
6
Lattice="0.000 3.725 3.725 3.725 0.000 3.725 3.725 3.725 0.000" Properties=species:S:1:pos:R:3 pbc="T T T"
Fe 0.000 0.000 0.000
Re 4.659 2.791 2.791
Re 2.791 4.659 2.791
Re 2.791 2.791 4.659
Re 4.659 4.659 4.659
Te 1.863 1.863 1.863
```

No. 3
Th4FeRe | GGA-PBE | optimized geometry

- Formation energy: 0.6 eV/f.u.
- DOS at the Fermi energy: 0.926 states/eV/atom
- Space-group type: No. 11

The structure in extended XYZ format:
```
12
Lattice="5.553 0.000 0.000 0.000 6.849 0.000 -0.056 0.000 7.997" Properties=species:S:1:pos:R:3 pbc="T T T"
Th 1.363 1.712 0.471
Th 1.368 5.136 2.386
Th 1.357 3.578 5.453
Th 1.357 6.694 5.453
Th 4.140 0.154 2.544
Th 4.140 3.270 2.544
Th 4.128 1.712 5.611
Th 4.133 5.136 7.526
Fe 1.346 5.136 7.874
Fe 4.150 1.712 0.123
Re 1.361 1.712 3.299
Re 4.135 5.136 4.698
```

No. 4
Th3Fe2Re7 | GGA-PBE | optimized geometry

- Formation energy: -0.4 eV/f.u.
- DOS at the Fermi energy: 1.206 states/eV/atom
- Space-group type: No. 166

The structure in extended XYZ format:
```
12
Lattice="2.660 1.536 9.085 -2.660 1.536 9.085 0.000 -3.072 9.085" Properties=species:S:1:pos:R:3 pbc="T T T"
Th 0.000 0.000 0.000
Th 0.000 0.000 3.927
Th 0.000 0.000 23.329
Fe 0.000 0.000 9.119
Fe 0.000 0.000 18.137
Re -1.342 -0.775 11.230
Re 0.000 -1.550 16.025
Re -1.342 0.775 16.025
Re 0.000 0.000 13.628
Re 1.342 -0.775 11.230
Re 0.000 1.550 11.230
Re 1.342 0.775 16.025
```

No. 5
Th2FeRe | GGA-PBE | optimized geometry

- Formation energy: 3.7 eV/f.u.
- DOS at the Fermi energy: 1.115 states/eV/atom
- Space-group type: No. 166

The structure in extended XYZ format:
```
4
Lattice="1.691 0.976 9.365 -1.691 0.976 9.365 0.000 -1.952 9.365" Properties=species:S:1:pos:R:3 pbc="T T T"
Th 0.000 0.000 2.612
Th 0.000 0.000 25.483
Fe 0.000 0.000 14.048
Re 0.000 0.000 0.000
```

No. 6
Ti5Fe4Re | GGA-PBE | optimized geometry

- Formation energy: -4.0 eV/f.u.
- DOS at the Fermi energy: 0.406 states/eV/atom
- Space-group type: No. 123

The structure in extended XYZ format:
```
10
Lattice="2.991 0.000 0.000 0.000 2.991 0.000 0.000 0.000 14.993" Properties=species:S:1:pos:R:3 pbc="T T T"
Ti 0.000 0.000 0.000
Ti 0.000 0.000 2.952
Ti 0.000 0.000 5.904
Ti 0.000 0.000 9.089
Ti 0.000 0.000 12.041
Fe 1.496 1.496 1.460
Fe 1.496 1.496 4.376
Fe 1.496 1.496 10.617
Fe 1.496 1.496 13.533
Re 1.496 1.496 7.496
```